[1]
## LiGaBiPb (PBE-GGA)

Data for LiGaBiPb after structural relaxation.

Computed properties:
ΔH_f (0 K) (meV per atom): -72

a = 5.201 Å, b = 5.201 Å, c = 5.201 Å
α = 60.00°, β = 60.00°, γ = 60.00°
Positions (direct):
Pb (0.500, 0.500, 0.500)
Bi (0.000, 0.000, 0.000)
Ga (0.250, 0.250, 0.250)
Li (0.750, 0.750, 0.750)



[2]
## Sm12PuIn3 (PBE-GGA)

Data for Sm12PuIn3 after structural relaxation.

Computed properties:
ΔH_f (0 K) (meV per atom): -171

a = 4.931 Å, b = 4.931 Å, c = 20.032 Å
α = 90.00°, β = 90.00°, γ = 90.00°
Each line ends with the local moment (μB).
Positions (direct):
Sm (0.500, 0.500, 0.000)  -0.10
Sm (0.500, 0.500, 0.252)  0.07
Sm (0.500, 0.500, 0.500)  0.01
Sm (0.500, 0.500, 0.748)  0.07
Sm (0.500, 0.000, 0.127)  -0.03
Sm (0.500, 0.000, 0.376)  0.03
Sm (0.500, 0.000, 0.624)  0.03
Sm (0.500, 0.000, 0.873)  -0.03
Sm (0.000, 0.500, 0.127)  -0.03
Sm (0.000, 0.500, 0.376)  0.03
Sm (0.000, 0.500, 0.624)  0.03
Sm (0.000, 0.500, 0.873)  -0.03
Pu (0.000, 0.000, 0.000)  -5.55
In (0.000, 0.000, 0.254)  0.00
In (0.000, 0.000, 0.500)  0.00
In (0.000, 0.000, 0.746)  0.00



[3]
## As3Br (PBE-GGA)

Data for As3Br after structural relaxation.

Computed properties:
Distance to the lowest polymorph of the same formula (eV per formula unit): 0.21

a = 8.652 Å, b = 8.652 Å, c = 3.604 Å
α = 90.00°, β = 90.00°, γ = 127.34°
Positions (direct):
As (0.909, 0.091, 0.250)
As (0.091, 0.909, 0.750)
As (0.354, 0.990, 0.250)
As (0.646, 0.010, 0.750)
As (0.010, 0.646, 0.250)
As (0.990, 0.354, 0.750)
Br (0.381, 0.619, 0.750)
Br (0.619, 0.381, 0.250)



[4]
## Os2BrCl (PBE-GGA)

Data for Os2BrCl after structural relaxation.

Computed properties:
Distance to the lowest polymorph of the same formula (eV per formula unit): 4.04

a = 4.420 Å, b = 4.420 Å, c = 8.537 Å
α = 75.00°, β = 75.00°, γ = 90.00°
Positions (direct):
Os (0.516, 0.125, 0.250)
Os (0.234, 0.625, 0.250)
Os (0.375, 0.484, 0.750)
Os (0.875, 0.766, 0.750)
Br (0.000, 0.000, 0.000)
Br (0.750, 0.250, 0.500)
Cl (0.500, 0.500, 0.000)
Cl (0.250, 0.750, 0.500)



[5]
## KMnRe2 (PBE-GGA)

Data for KMnRe2 after structural relaxation.

Computed properties:
ΔH_f (0 K) (meV per atom): 800
Distance to the lowest polymorph of the same formula (eV per formula unit): 0.14

a = 2.797 Å, b = 3.891 Å, c = 7.864 Å
α = 90.00°, β = 90.00°, γ = 90.00°
Each line ends with the local moment (μB).
Positions (direct):
K (0.000, 0.000, 0.501)  0.02
Mn (0.500, 0.500, 0.843)  3.10
Re (0.000, 0.000, 0.007)  -0.24
Re (0.500, 0.500, 0.149)  -0.09



[6]
## SrCoPt2 (PBE-GGA)

Data for SrCoPt2 after structural relaxation.

Computed properties:
ΔH_f (0 K) (meV per atom): -47

a = 4.391 Å, b = 2.935 Å, c = 6.041 Å
α = 87.86°, β = 90.00°, γ = 90.00°
Each line ends with the local moment (μB).
Positions (direct):
Co (0.500, 0.648, 0.871)  1.91
Pt (0.000, 0.119, 0.934)  0.27
Pt (0.500, 0.124, 0.222)  0.15
Sr (0.000, 0.608, 0.472)  -0.02